[1]
A relaxed TaCr2H4 crystal, computed with PBE.

a = 5.295 Å, b = 5.295 Å, c = 5.298 Å
α = 119.96°, β = 119.95°, γ = 90.02°
Element x y z (fractional)
Ta 0.250 0.750 0.500
Ta 0.000 0.000 0.000
Cr 0.625 0.375 0.750
Cr 0.625 0.875 0.250
Cr 0.625 0.375 0.250
Cr 0.125 0.375 0.750
H 0.856 0.145 0.289
H 0.394 0.605 0.211
H 0.856 0.567 0.711
H 0.855 0.144 0.711
H 0.433 0.144 0.289
H 0.394 0.183 0.789
H 0.395 0.606 0.789
H 0.817 0.606 0.211

Symmetry: I4_1/amd, No. 141
Crystal system: tetragonal
Volume: 105 Å³/cell
Total energy: -6.3479 eV per atom
Theoretical density: 9.13 g cm⁻³
Spin magnetization: 0.173 μB per atom
Fermi-level density of states: 10.1 states/eV per cell

[2]
A relaxed K5RbI8 crystal, computed with PBE.

a = 9.371 Å, b = 9.371 Å, c = 9.371 Å
α = 109.04°, β = 109.04°, γ = 110.34°
Element x y z (fractional)
K 0.845 0.246 0.848
K 0.754 0.602 0.599
K 0.398 0.997 0.152
K 0.500 0.500 0.000
K 0.003 0.155 0.401
Rb 0.250 0.750 0.500
I 0.948 0.755 0.082
I 0.245 0.327 0.193
I 0.633 0.861 0.407
I 0.139 0.546 0.772
I 0.774 0.367 0.228
I 0.134 0.052 0.807
I 0.673 0.866 0.918
I 0.454 0.226 0.593

Symmetry: I-4, No. 82
Crystal system: tetragonal
Volume: 633 Å³/cell
Total energy: -2.5164 eV per atom
Theoretical density: 3.40 g cm⁻³
Spin magnetization: 0.133 μB per atom
Fermi-level density of states: 0.8 states/eV per cell

[3]
A relaxed DyScCoRh crystal, computed with PBE.

a = 4.649 Å, b = 4.649 Å, c = 4.649 Å
α = 60.00°, β = 60.00°, γ = 60.00°
Element x y z (fractional)
Sc 0.000 0.000 0.000
Co 0.250 0.250 0.250
Rh 0.750 0.750 0.750
Dy 0.500 0.500 0.500

Symmetry: F-43m, No. 216
Crystal system: cubic
Volume: 71 Å³/cell
Energy of formation: -552 meV/atom
Theoretical density: 8.63 g cm⁻³
Spin magnetization: 0.087 μB per atom
Fermi-level density of states: 2.6 states/eV per cell

[4]
A relaxed AcLaSi2Pt2 crystal, computed with PBE.

a = 4.247 Å, b = 4.247 Å, c = 8.912 Å
α = 90.00°, β = 90.00°, γ = 120.00°
Element x y z (fractional)
Ac 0.000 0.000 0.000
La 0.000 0.000 0.500
Si 0.667 0.333 0.258
Si 0.333 0.667 0.742
Pt 0.667 0.333 0.743
Pt 0.333 0.667 0.257

Symmetry: P-3m1, No. 164
Crystal system: trigonal
Volume: 139 Å³/cell
Total energy: -6.4365 eV per atom
Theoretical density: 9.69 g cm⁻³
Spin magnetization: 0.000 μB per atom
Fermi-level density of states: 4.6 states/eV per cell

[5]
A relaxed TiTlB2 crystal, computed with PBE.

a = 4.238 Å, b = 4.238 Å, c = 4.238 Å
α = 60.00°, β = 60.00°, γ = 60.00°
Element x y z (fractional)
Tl 0.500 0.500 0.500
B 0.250 0.250 0.250
B 0.750 0.750 0.750
Ti 0.000 0.000 0.000

Symmetry: Fm-3m, No. 225
Crystal system: cubic
Volume: 54 Å³/cell
Energy of formation: 1230 meV/atom
Energy above the lowest structure with this stoichiometry: 0.489 eV/atom
Theoretical density: 8.45 g cm⁻³
Spin magnetization: 0.204 μB per atom
Fermi-level density of states: 2.4 states/eV per cell

[6]
A relaxed PrDy3Th2 crystal, computed with PBE.

a = 8.759 Å, b = 7.174 Å, c = 7.174 Å
α = 120.00°, β = 90.00°, γ = 90.00°
Element x y z (fractional)
Pr 0.329 0.667 0.333
Pr 0.671 0.333 0.667
Dy 0.676 0.331 0.165
Dy 0.676 0.835 0.669
Dy 0.676 0.835 0.165
Dy 0.324 0.165 0.835
Dy 0.324 0.669 0.835
Dy 0.324 0.165 0.331
Th 0.000 0.000 0.000
Th 0.000 0.500 0.500
Th 0.000 0.500 0.000
Th 0.000 0.000 0.500

Symmetry: P-3m1, No. 164
Crystal system: trigonal
Volume: 390 Å³/cell
Energy of formation: 26 meV/atom
Theoretical density: 9.29 g cm⁻³
Spin magnetization: 0.000 μB per atom
Fermi-level density of states: 18.5 states/eV per cell